Record 1
Compound: Ac2InHg3
Source: Alexandria
Functional: PBE
Structure: optimized geometry

The structure in POSCAR format:
```
Ac2InHg3
1.0
0.0000 5.0930 8.8287
4.0219 0.0000 8.8287
4.0219 5.0930 0.0000
Ac In Hg
4 2 6
Cartesian
6.1059 5.0930 8.8287
2.0110 2.5465 4.4143
6.0329 7.6395 13.2430
1.9380 5.0930 8.8287
4.0219 5.0930 5.9077
4.0219 5.0930 11.7496
4.0219 5.0930 2.9667
4.0219 2.5721 7.3554
4.0219 2.5721 10.3019
4.0219 7.6139 7.3554
4.0219 7.6139 10.3019
4.0219 5.0930 14.6907
```

- excess energy over the best structure of this formula in the dataset (eV per atom) = 0.000
- size of the total moment (μB per formula unit) = 0.003
- E (eV for the cell shown) = -29.3
- space group = Fmmm
- formation energy (eV/atom) = -0.465
- DOS(E_F) (states/eV per atom) = 0.824


Record 2
Compound: Ta6Nb2Mo
Source: Alexandria
Functional: PBE
Structure: optimized geometry

The structure in POSCAR format:
```
Ta6Nb2Mo
1.0
12.2477 -3.1589 0.0000
12.2477 3.1589 0.0000
0.0000 0.0000 4.6622
Ta Nb Mo
12 4 2
Cartesian
3.5375 0.8425 3.4967
10.7888 2.1035 3.4967
13.7066 2.1035 3.4967
8.4167 0.7077 3.4967
3.5375 -0.8425 1.1656
8.4167 -0.7077 1.1656
16.0787 0.7077 3.4967
20.9579 0.8425 3.4967
16.0787 -0.7077 1.1656
10.7888 -2.1035 1.1656
13.7066 -2.1035 1.1656
20.9579 -0.8425 1.1656
6.0980 0.7982 1.1656
6.0980 -0.7982 3.4967
18.3974 0.7982 1.1656
18.3974 -0.7982 3.4967
12.2477 1.9713 1.1656
12.2477 -1.9713 3.4967
```

- excess energy over the best structure of this formula in the dataset (eV per atom) = 0.000
- size of the total moment (μB per formula unit) = 0.000
- E (eV for the cell shown) = -196.2
- space group = Cmcm
- formation energy (eV/atom) = 0.442
- DOS(E_F) (states/eV per atom) = 1.089


Record 3
Compound: NaSnTe
Source: Alexandria
Functional: PBE
Structure: optimized geometry

The structure in POSCAR format:
```
NaSnTe
1.0
4.4195 0.0000 0.0000
-0.0003 4.4203 0.0000
-0.0223 -0.0012 9.9349
Na Sn Te
2 2 2
Cartesian
0.0000 0.0000 0.0000
2.1729 2.2071 2.9601
2.1699 2.2161 6.7628
4.3792 0.0055 6.1318
2.1872 2.2091 9.5531
4.3817 4.4178 3.3412
```

- excess energy over the best structure of this formula in the dataset (eV per atom) = 0.000
- formation energy (no corrections) (eV/atom) = -0.50
- size of the total moment (μB per formula unit) = 0.000
- E (eV for the cell shown) = -19.9
- space group = P1
- DOS(E_F) (states/eV per atom) = 0.247


Record 4
Compound: Al5Zn4Ag2
Source: Alexandria
Functional: PBE
Structure: optimized geometry

The structure in POSCAR format:
```
Al5Zn4Ag2
1.0
6.2553 0.0000 0.0000
0.0000 14.9644 0.0000
0.0000 0.0000 3.9291
Al Zn Ag
10 8 4
Cartesian
0.0000 0.0000 0.0000
0.5801 6.2221 0.0000
1.1849 2.6506 0.0000
1.9428 10.1328 0.0000
2.5475 13.7043 0.0000
3.1277 7.4822 0.0000
3.7078 1.2602 0.0000
4.3126 4.8316 0.0000
5.0704 12.3138 0.0000
5.6752 8.7424 0.0000
0.6578 13.2110 1.9646
1.2488 8.1734 1.9646
1.8788 0.6912 1.9646
2.4699 5.7287 1.9646
3.7854 9.2357 1.9646
4.3765 14.2733 1.9646
5.0065 6.7910 1.9646
5.5976 1.7535 1.9646
0.1246 4.2938 1.9646
3.0031 11.7760 1.9646
3.2522 3.1884 1.9646
6.1307 10.6707 1.9646
```

- size of the total moment (μB per formula unit) = 0.000
- E (eV for the cell shown) = -58.1
- space group = Pbam
- formation energy (eV/atom) = 0.044
- DOS(E_F) (states/eV per atom) = 0.217


Record 5
Compound: TmScGe
Source: Alexandria
Functional: PBE
Structure: optimized geometry

The structure in POSCAR format:
```
TmScGe
1.0
3.2532 0.0000 0.0000
-1.6170 5.6470 0.0000
-0.0063 -2.6597 7.3066
Tm Sc Ge
2 2 2
Cartesian
0.0040 1.4385 0.8513
1.6258 1.5488 6.4552
0.0004 0.1231 3.8440
1.6294 2.8642 3.4625
0.0059 4.4359 1.6298
1.6239 -1.4485 5.6768
```

- size of the total moment (μB per formula unit) = 0.000
- E (eV for the cell shown) = -33.8
- space group = P-1
- formation energy (eV/atom) = -0.492
- DOS(E_F) (states/eV per atom) = 0.909


Record 6
Compound: KLiBe2Re
Source: Alexandria
Functional: PBE
Structure: optimized geometry

The structure in POSCAR format:
```
KLiBe2Re
1.0
4.4118 0.0000 0.0000
0.0000 4.4118 0.0000
0.0000 0.0000 3.7458
K Li Be Re
1 1 2 1
Cartesian
0.0000 0.0000 0.0000
0.0000 0.0000 1.8729
0.0000 2.2059 0.0000
2.2059 0.0000 0.0000
2.2059 2.2059 1.8729
```

- size of the total moment (μB per formula unit) = 0.001
- E (eV for the cell shown) = -11.9
- space group = P4/mmm
- formation energy (eV/atom) = 2.196
- DOS(E_F) (states/eV per atom) = 0.696


- What is the size of the total moment in the fourth record?
  0.000 μB per formula unit


- Look up the size of the total moment of the fourth one.
  0.000 μB per formula unit


- What is the formula in the fourth record?
  Al5Zn4Ag2